Below is CaCo6O2F10 after structural relaxation, with properties calculated at the PBE with a Hubbard U level.

Cell lengths 5.653, 5.382, 9.435 Å; angles 101.89, 85.29, 111.27 degrees
Each line ends with the local moment (μB).
Fractional positions:
Ca: 0.700 0.325 0.739  0.01
Co: 0.892 0.925 0.013  2.76
Co: 0.998 0.175 0.329  2.73
Co: 0.062 0.937 0.662  2.79
Co: 0.508 0.350 0.135  2.76
Co: 0.322 0.617 0.931  2.76
Co: 0.566 0.691 0.443  2.75
O: 0.334 0.403 0.319  0.20
O: 0.632 0.564 0.980  0.14
F: 0.261 0.940 0.058  0.08
F: 0.080 0.690 0.801  0.06
F: 0.397 0.921 0.573  0.06
F: 0.112 0.326 0.034  0.08
F: 0.298 0.314 0.747  0.05
F: 0.780 0.593 0.567  0.06
F: 0.833 0.768 0.284  0.09
F: 0.732 0.152 0.192  0.09
F: 0.778 0.993 0.819  0.06
F: 0.909 0.121 0.539  0.06

total energy = -5.27 eV per atom